# Sc2GaCu PBE optimized geometry
# Raw total energy: -21.626 eV per formula unit
# Formation energy: -1.84 eV per formula unit
data_Sc2GaCu
_chemical_formula_sum 'Sc2 Ga1 Cu1'
_space_group_name_H-M_alt 'P 4/m m m'
_space_group_IT_number 123
_space_group_name_Hall '-P 4 2'
_cell_length_a 3.268
_cell_length_b 3.268
_cell_length_c 6.801
_cell_angle_alpha 90.00
_cell_angle_beta 90.00
_cell_angle_gamma 90.00
loop_
_atom_site_label
_atom_site_fract_x
_atom_site_fract_y
_atom_site_fract_z
Sc1 0.000 0.000 0.239
Ga1 0.500 0.500 0.500
Cu1 0.500 0.500 0.000